A plane-wave DFT calculation with PBE was carried out for a geometry-optimized FeBi2Br2 structure.

a = 3.864 Å, b = 3.864 Å, c = 10.863 Å
α = 79.75°, β = 79.75°, γ = 90.00°
Each line ends with the local moment (μB).
Fractional coordinates of all 5 atoms:
Fe  0.000  0.000  0.000  2.91
Bi  0.429  0.429  0.142  -0.04
Bi  0.571  0.571  0.858  -0.04
Br  0.250  0.750  0.500  0.00
Br  0.750  0.250  0.500  0.00

Output
As for the symmetry: I4/mmm (139). For the uncorrected formation energy, the calculation gives 0.437 eV/atom. The value obtained for the magnetization is 3.03 μB/cell.